Below is an optimized crystal structure of ScTe2PbN, with properties calculated at the PBE level.

Computed properties:
- DOS(E_F): 0.511 states/eV/atom
- Formation energy without anion corrections: -0.103 eV per atom

Lattice parameters (Å, degrees): 5.859 5.859 3.966 90.00 90.00 90.00
Positions (direct):
Pb: 0.500 0.500 0.500
Sc: 0.000 0.000 0.000
Te: 0.500 0.000 0.000
Te: 0.000 0.500 0.000
N: 0.000 0.000 0.500